The following is a PBE-GGA calculation of a relaxed Hf3AlPt12 crystal, from Alexandria via LeMat-Bulk.

The structure in POSCAR format:
```
Hf3AlPt12
1.0
4.009 0.000 0.000
0.000 4.009 0.000
0.000 0.000 15.984
Hf Pt Al
3 12 1
direct
0.000 0.000 0.244 Hf
0.000 0.000 0.756 Hf
0.000 0.000 0.500 Hf
0.500 0.500 0.247 Pt
0.500 0.500 0.500 Pt
0.500 0.500 0.753 Pt
0.000 0.500 0.627 Pt
0.500 0.000 0.121 Pt
0.000 0.500 0.373 Pt
0.000 0.500 0.121 Pt
0.500 0.000 0.627 Pt
0.000 0.500 0.879 Pt
0.500 0.000 0.879 Pt
0.500 0.000 0.373 Pt
0.500 0.500 0.000 Pt
0.000 0.000 0.000 Al
```

## Properties
As for the energy relative to the elements: -1.02 eV/atom. Its density of states at the Fermi level is 4.613 states/eV/f.u. Its crystal system is tetragonal. As for the symmetry: P4/mmm, No. 123. The value obtained for the raw total energy is -122.4 eV/f.u. For the calculated density, the calculation gives 18.8 g/cm³.

---

The following is a PBE-GGA calculation of a relaxed Pu3UPa2N6 crystal, from Alexandria via LeMat-Bulk.

The structure in POSCAR format:
```
Pu3UPa2N6
1.0
6.047 0.000 0.001
-3.022 5.238 0.001
-1.008 -1.746 5.655
N Pu Pa U
6 3 2 1
direct
0.921 0.594 0.763 N
0.406 0.079 0.237 N
0.594 0.921 0.763 N
0.079 0.406 0.237 N
0.248 0.248 0.762 N
0.752 0.752 0.238 N
0.167 0.833 0.500 Pu
0.500 0.500 0.500 Pu
0.833 0.167 0.500 Pu
0.667 0.333 0.000 Pa
0.333 0.667 0.000 Pa
0.000 0.000 0.000 U
```

## Properties
Its density of states at the Fermi level is 13.854 states/eV/f.u. Its crystal system is monoclinic. For the raw formation energy, the calculation gives -1.4121 eV per atom. As for the symmetry: C2/m, No. 12. The value obtained for the raw total energy is -140.2 eV/f.u. For the calculated density, the calculation gives 14.1 g/cm³.

---

The following is a PBE-GGA calculation of a relaxed Ta5Ni4 crystal, from Alexandria via LeMat-Bulk.

The structure in POSCAR format:
```
Ta5Ni4
1.0
-4.573 4.573 1.638
4.573 -4.573 1.638
4.573 4.573 -1.638
Ni Ta
4 5
direct
0.000 0.339 0.339 Ni
0.000 0.661 0.661 Ni
0.339 0.000 0.339 Ni
0.661 0.000 0.661 Ni
0.670 0.670 0.339 Ta
0.330 0.670 0.000 Ta
0.330 0.330 0.661 Ta
0.670 0.330 0.000 Ta
0.000 0.000 0.000 Ta
```

## Properties
As for the energy relative to the elements: 0.04 eV/atom. Its density of states at the Fermi level is 8.866 states/eV/f.u. Its crystal system is tetragonal. As for the symmetry: I4/mmm, No. 139. The value obtained for the raw total energy is -82.0 eV/f.u. For the calculated density, the calculation gives 13.8 g/cm³. The calculation puts the energy above the most stable polymorph in this dataset at 0.118 eV/atom.

---

The following is a PBE-GGA calculation of a relaxed LaTlZnCd crystal, from Alexandria via LeMat-Bulk.

The structure in POSCAR format:
```
LaTlZnCd
1.0
-3.354 3.867 1.061
-4.464 -1.029 2.518
-0.653 1.616 4.929
Zn Cd La Tl
1 1 1 1
direct
0.750 0.750 0.750 Zn
0.500 0.500 0.500 Cd
0.000 0.000 0.000 La
0.250 0.250 0.250 Tl
```

## Properties
As for the energy relative to the elements: -0.27 eV/atom. Its density of states at the Fermi level is 1.250 states/eV/f.u. Its crystal system is cubic. As for the symmetry: F-43m, No. 216. The value obtained for the raw total energy is -10.5 eV/f.u. For the calculated density, the calculation gives 8.6 g/cm³.

---

The following is a PBE-GGA calculation of a relaxed Cs3Pu2BiTe6 crystal, from Alexandria via LeMat-Bulk.

The structure in POSCAR format:
```
Cs3Pu2BiTe6
1.0
8.066 -0.001 0.001
-4.032 6.986 0.001
-1.344 -2.328 8.879
Te Bi Cs Pu
6 1 3 2
direct
0.274 0.274 0.810 Te
0.936 0.599 0.810 Te
0.401 0.064 0.190 Te
0.599 0.936 0.810 Te
0.064 0.401 0.190 Te
0.726 0.726 0.190 Te
0.000 0.000 0.000 Bi
0.500 0.500 0.500 Cs
0.165 0.835 0.500 Cs
0.835 0.165 0.500 Cs
0.667 0.333 0.000 Pu
0.333 0.667 0.000 Pu
```

## Properties
Its density of states at the Fermi level is 25.074 states/eV/f.u. Its crystal system is monoclinic. For the raw formation energy, the calculation gives -0.9387 eV per atom. As for the symmetry: C2/m, No. 12. The value obtained for the raw total energy is -65.2 eV/f.u. For the calculated density, the calculation gives 6.2 g/cm³.

---

The following is a PBE-GGA calculation of a relaxed UTc3 crystal, from Alexandria via LeMat-Bulk.

The structure in POSCAR format:
```
UTc3
1.0
3.620 0.000 0.000
0.000 3.620 0.000
-1.810 -1.810 5.635
U Tc
1 3
direct
0.000 0.000 0.000 U
0.500 0.500 0.000 Tc
0.267 0.267 0.534 Tc
0.733 0.733 0.466 Tc
```

## Properties
As for the energy relative to the elements: 0.58 eV/atom. Its density of states at the Fermi level is 3.772 states/eV/f.u. Its crystal system is tetragonal. As for the symmetry: I4/mmm, No. 139. The value obtained for the raw total energy is -40.1 eV/f.u. For the calculated density, the calculation gives 12.0 g/cm³.

---

The following is a PBE-GGA calculation of a relaxed KCa2Te crystal, from Alexandria via LeMat-Bulk.

The structure in POSCAR format:
```
KCa2Te
1.0
6.034 0.000 0.000
3.017 5.225 0.000
3.017 1.742 4.927
Te Ca K
1 2 1
direct
0.750 0.750 0.750 Te
0.250 0.250 0.250 Ca
0.000 0.000 0.000 Ca
0.500 0.500 0.500 K
```

## Properties
Its density of states at the Fermi level is 4.141 states/eV/f.u. Its crystal system is cubic. For the raw formation energy, the calculation gives -0.2484 eV per atom. As for the symmetry: F-43m, No. 216. The value obtained for the raw total energy is -9.2 eV/f.u. For the calculated density, the calculation gives 2.6 g/cm³.

---

The following is a PBE-GGA calculation of a relaxed IrC2 crystal, from Alexandria via LeMat-Bulk.

The structure in POSCAR format:
```
IrC2
1.0
3.046 -4.352 2.961
4.112 3.919 2.172
-5.403 -2.778 -0.275
C Ir
4 2
direct
0.460 0.210 0.250 C
0.698 0.948 0.750 C
0.540 0.790 0.750 C
0.302 0.052 0.250 C
0.135 0.385 0.750 Ir
0.865 0.615 0.250 Ir
```

## Properties
As for the energy relative to the elements: 0.87 eV/atom. Its density of states at the Fermi level is 2.810 states/eV/f.u. Its crystal system is orthorhombic. As for the symmetry: Imma, No. 74. The value obtained for the raw total energy is -24.7 eV/f.u. For the calculated density, the calculation gives 8.0 g/cm³. The calculation puts the energy above the most stable polymorph in this dataset at 0.277 eV/atom.

---

The following is a PBE-GGA calculation of a relaxed UCdGeO6 crystal, from Alexandria via LeMat-Bulk.

The structure in POSCAR format:
```
UCdGeO6
1.0
-5.019 -1.845 0.059
2.914 -0.035 4.484
-3.242 8.889 2.177
O U Ge Cd
12 2 2 2
direct
0.373 0.024 0.140 O
0.976 0.349 0.140 O
0.024 0.373 0.640 O
0.024 0.651 0.860 O
0.651 0.627 0.140 O
0.349 0.976 0.640 O
0.627 0.651 0.640 O
0.627 0.976 0.860 O
0.651 0.024 0.360 O
0.976 0.627 0.360 O
0.373 0.349 0.360 O
0.349 0.373 0.860 O
0.667 0.333 0.750 U
0.333 0.667 0.250 U
0.667 0.333 0.250 Ge
0.333 0.667 0.750 Ge
0.000 0.000 0.500 Cd
0.000 0.000 0.000 Cd
```

## Properties
Its density of states at the Fermi level is 0.000 states/eV/f.u. Its crystal system is trigonal. For the raw formation energy, the calculation gives -2.0647 eV per atom. As for the symmetry: P-31c, No. 163. The value obtained for the raw total energy is -65.2 eV/f.u. For the calculated density, the calculation gives 7.2 g/cm³.

---

The following is a PBE-GGA calculation of a relaxed PrNd2Eu crystal, from Alexandria via LeMat-Bulk.

The structure in POSCAR format:
```
PrNd2Eu
1.0
5.924 0.000 0.000
2.962 5.130 0.000
2.962 1.710 4.837
Eu Pr Nd
1 1 2
direct
0.000 0.000 0.000 Eu
0.500 0.500 0.500 Pr
0.750 0.750 0.750 Nd
0.250 0.250 0.250 Nd
```

## Properties
As for the energy relative to the elements: 0.13 eV/atom. Its density of states at the Fermi level is 6.402 states/eV/f.u. Its crystal system is cubic. As for the symmetry: Fm-3m, No. 225. The value obtained for the raw total energy is -24.1 eV/f.u. For the calculated density, the calculation gives 6.6 g/cm³. The calculation puts the energy above the most stable polymorph in this dataset at 0.099 eV/atom.

---

The following is a PBE-GGA calculation of a relaxed ZrNi2Te crystal, from Alexandria via LeMat-Bulk.

The structure in POSCAR format:
```
ZrNi2Te
1.0
4.102 0.000 0.000
0.000 4.102 0.000
2.051 2.051 8.733
Ni Te Zr
4 2 2
direct
0.629 0.125 0.250 Ni
0.375 0.371 0.750 Ni
0.875 0.879 0.750 Ni
0.121 0.625 0.250 Ni
0.000 0.000 0.000 Te
0.750 0.250 0.500 Te
0.250 0.750 0.500 Zr
0.500 0.500 0.000 Zr
```

## Properties
Its density of states at the Fermi level is 2.143 states/eV/f.u. Its crystal system is tetragonal. For the raw formation energy, the calculation gives 0.0070 eV per atom. As for the symmetry: I-42d, No. 122. The value obtained for the raw total energy is -23.2 eV/f.u. For the calculated density, the calculation gives 7.6 g/cm³.

---

The following is a PBE-GGA calculation of a relaxed Al2TcAs crystal, from Alexandria via LeMat-Bulk.

The structure in POSCAR format:
```
Al2TcAs
1.0
-2.631 2.074 2.357
-1.518 -2.773 0.745
2.167 -1.968 4.150
Tc Al As
1 2 1
direct
0.500 0.554 0.767 Tc
0.500 0.281 0.312 Al
0.000 0.965 0.946 Al
0.000 0.700 0.475 As
```

## Properties
As for the energy relative to the elements: -0.19 eV/atom. Its density of states at the Fermi level is 3.069 states/eV/f.u. Its crystal system is orthorhombic. As for the symmetry: Amm2, No. 38. The value obtained for the raw total energy is -23.3 eV/f.u. For the calculated density, the calculation gives 5.9 g/cm³.

---

The following is a PBE-GGA calculation of a relaxed Cr2SiCl crystal, from Alexandria via LeMat-Bulk.

The structure in POSCAR format:
```
Cr2SiCl
1.0
7.562 -0.273 -0.161
7.001 2.870 -0.161
7.001 1.249 2.589
Cr Si Cl
2 1 1
direct
0.506 0.506 0.506 Cr
0.994 0.994 0.994 Cr
0.250 0.250 0.250 Si
0.750 0.750 0.750 Cl
```

## Properties
Its density of states at the Fermi level is 1.718 states/eV/f.u. Its crystal system is trigonal. For the raw formation energy, the calculation gives 0.1337 eV per atom. As for the symmetry: R-3m, No. 166. The value obtained for the raw total energy is -26.0 eV/f.u. For the calculated density, the calculation gives 4.3 g/cm³. The calculation puts the energy above the most stable polymorph in this dataset at 0.125 eV/atom.

---

The following is a PBE-GGA calculation of a relaxed CoMoOs crystal, from Alexandria via LeMat-Bulk.

The structure in POSCAR format:
```
CoMoOs
1.0
-3.582 2.109 0.742
-0.062 -3.503 -2.356
-0.409 -1.463 2.186
Co Os Mo
1 1 1
direct
0.000 0.000 0.167 Co
0.333 0.667 0.667 Os
0.667 0.333 0.166 Mo
```

## Properties
As for the energy relative to the elements: 0.14 eV/atom. Its density of states at the Fermi level is 3.758 states/eV/f.u. Its crystal system is hexagonal. As for the symmetry: P-6m2, No. 187. The value obtained for the raw total energy is -28.7 eV/f.u. For the calculated density, the calculation gives 13.9 g/cm³. The calculation puts the energy above the most stable polymorph in this dataset at 0.132 eV/atom.

---

The following is a PBE-GGA calculation of a relaxed BPdRh crystal, from Alexandria via LeMat-Bulk.

The structure in POSCAR format:
```
BPdRh
1.0
2.869 -0.011 0.002
-1.452 5.516 0.825
-1.420 -1.118 4.391
Pd Rh B
2 2 2
direct
0.922 0.607 0.245 Pd
0.078 0.393 0.755 Pd
0.220 0.134 0.273 Rh
0.780 0.866 0.727 Rh
0.521 0.144 0.898 B
0.479 0.856 0.102 B
```

## Properties
As for the energy relative to the elements: -0.23 eV/atom. Its density of states at the Fermi level is 1.515 states/eV/f.u. Its crystal system is triclinic. As for the symmetry: P-1, No. 2. The value obtained for the raw total energy is -19.9 eV/f.u. For the calculated density, the calculation gives 10.1 g/cm³.

---

The following is a PBE-GGA calculation of a relaxed KBPb crystal, from Alexandria via LeMat-Bulk.

The structure in POSCAR format:
```
KBPb
1.0
-3.013 -0.821 -0.811
-1.236 -5.739 10.310
-1.409 4.050 1.132
B K Pb
2 2 2
direct
0.750 0.247 0.851 B
0.250 0.253 0.854 B
0.754 0.423 0.439 K
0.249 0.077 0.266 K
0.751 0.831 0.643 Pb
0.252 0.669 0.063 Pb
```

## Properties
As for the energy relative to the elements: 0.14 eV/atom. Its density of states at the Fermi level is 1.167 states/eV/f.u. Its crystal system is monoclinic. As for the symmetry: Cm, No. 8. The value obtained for the raw total energy is -11.1 eV/f.u. For the calculated density, the calculation gives 5.1 g/cm³. The calculation puts the energy above the most stable polymorph in this dataset at 0.000 eV/atom.

---

The following is a PBE-GGA calculation of a relaxed Dy2ZnI2 crystal, from Alexandria via LeMat-Bulk.

The structure in POSCAR format:
```
Dy2ZnI2
1.0
3.945 0.000 0.919
1.866 3.476 0.919
-0.773 -0.463 12.243
Zn I Dy
1 2 2
direct
0.000 0.000 0.000 Zn
0.774 0.774 0.678 I
0.226 0.226 0.322 I
0.617 0.617 0.150 Dy
0.383 0.383 0.850 Dy
```

## Properties
Its density of states at the Fermi level is 3.634 states/eV/f.u. Its crystal system is trigonal. For the raw formation energy, the calculation gives -0.8360 eV per atom. As for the symmetry: R-3m, No. 166. The value obtained for the raw total energy is -17.8 eV/f.u. For the calculated density, the calculation gives 6.2 g/cm³.

---

The following is a PBE-GGA calculation of a relaxed SrZrAl crystal, from Alexandria via LeMat-Bulk.

The structure in POSCAR format:
```
SrZrAl
1.0
-2.407 3.415 -5.152
-4.888 -1.204 -4.320
2.276 0.634 6.198
Sr Zr Al
1 1 1
direct
0.344 0.344 0.000 Sr
0.625 0.625 0.000 Zr
0.030 0.030 0.000 Al
```

## Properties
As for the energy relative to the elements: 0.11 eV/atom. Its density of states at the Fermi level is 3.661 states/eV/f.u. Its crystal system is orthorhombic. As for the symmetry: Imm2, No. 44. The value obtained for the raw total energy is -13.6 eV/f.u. For the calculated density, the calculation gives 4.1 g/cm³. The calculation puts the energy above the most stable polymorph in this dataset at 0.048 eV/atom.

---

The following is a PBE-GGA calculation of a relaxed AlNiRh2 crystal, from Alexandria via LeMat-Bulk.

The structure in POSCAR format:
```
AlNiRh2
1.0
2.838 0.000 0.000
0.000 4.481 0.000
0.000 0.000 4.234
Ni Rh Al
1 2 1
direct
0.000 0.500 0.500 Ni
0.500 0.500 0.000 Rh
0.000 0.000 0.000 Rh
0.500 0.000 0.500 Al
```

## Properties
As for the energy relative to the elements: -0.34 eV/atom. Its density of states at the Fermi level is 4.018 states/eV/f.u. Its crystal system is orthorhombic. As for the symmetry: Pmmm, No. 47. The value obtained for the raw total energy is -25.6 eV/f.u. For the calculated density, the calculation gives 9.0 g/cm³.

---

The following is a PBE-GGA calculation of a relaxed Nd4IrRu crystal, from Alexandria via LeMat-Bulk.

The structure in POSCAR format:
```
Nd4IrRu
1.0
6.123 0.142 -2.141
-2.595 6.480 -3.102
0.090 0.079 8.150
Nd Ru Ir
8 2 2
direct
0.791 0.690 0.646 Nd
0.645 0.044 0.354 Nd
0.364 0.631 0.870 Nd
0.994 0.761 0.130 Nd
0.636 0.369 0.130 Nd
0.006 0.239 0.870 Nd
0.209 0.310 0.354 Nd
0.355 0.956 0.646 Nd
0.747 0.997 0.994 Ru
0.253 0.003 0.006 Ru
0.614 0.364 0.728 Ir
0.386 0.636 0.272 Ir
```

## Properties
As for the energy relative to the elements: -0.38 eV/atom. Its density of states at the Fermi level is 4.897 states/eV/f.u. Its crystal system is monoclinic. As for the symmetry: C2/c, No. 15. The value obtained for the raw total energy is -39.5 eV/f.u. For the calculated density, the calculation gives 8.8 g/cm³. The calculation puts the energy above the most stable polymorph in this dataset at 0.000 eV/atom.